Entry 1:
## K3Mn2As4 (PBE)

Data for crystalline K3Mn2As4 at its relaxed geometry.

The space group is C2/m (No. 12) and the conventional cell measures 13.035, 4.403 and 8.691 Å, with angles of 90.00, 106.33 and 90.00 degrees. Symmetry generates all atoms from K at (0.000, 0.000, 0.000), K at (0.091, 0.500, 0.684), Mn at (0.210, 0.500, 0.350), As at (0.136, 0.000, 0.396) and As at (0.229, 0.500, 0.066).

The calculation puts the total energy at -4.752 eV per atom.

Entry 2:
## Zr2PbS (PBE)

Data for crystalline Zr2PbS at its relaxed geometry.

The space group is R-3m (No. 166, hexagonal axes) and the conventional cell measures 3.7547, 3.7547 and 21.4332 Å, with angles of 90.00, 90.00 and 120.00 degrees. Symmetry generates all atoms from Zr at (0.0000, 0.0000, 0.2280), Pb at (0.0000, 0.0000, 0.0000) and S at (0.0000, 0.0000, 0.5000).

For the uncorrected formation energy, the calculation gives -79 kJ per mole of atoms.

Entry 3:
## Sm3Ni (PBE)

Data for crystalline Sm3Ni at its relaxed geometry.

The space group is Pnma (No. 62) and the conventional cell measures 6.980, 9.858 and 6.433 Å, with angles of 90.00, 90.00 and 90.00 degrees. Symmetry generates all atoms from Sm at (0.034, 0.250, 0.144), Sm at (0.177, 0.066, 0.675) and Ni at (0.112, 0.750, 0.436).

The calculation puts the total energy at -5.181 eV per atom.

Entry 4:
## Ba3Tc2O7 (PBE)

Data for crystalline Ba3Tc2O7 at its relaxed geometry.

The space group is Cmmm (No. 65) and the conventional cell measures 4.063, 23.184 and 3.998 Å, with angles of 90.00, 90.00 and 90.00 degrees. Symmetry generates all atoms from Ba at (0.000, 0.000, 0.000), Ba at (0.000, 0.173, 0.000), Tc at (0.000, 0.411, 0.500), O at (0.000, 0.090, 0.500), O at (0.000, 0.322, 0.500), O at (0.000, 0.410, 0.000) and O at (0.000, 0.500, 0.500).

For the uncorrected formation energy, the calculation gives -198 kJ per mole of atoms.

Entry 5:
## DyTlHg (PBE)

Data for crystalline DyTlHg at its relaxed geometry.

The space group is P4/nmm (No. 129, origin choice 2) and the conventional cell measures 5.297, 5.297 and 6.519 Å, with angles of 90.00, 90.00 and 90.00 degrees. Symmetry generates all atoms from Dy at (0.250, 0.250, 0.233), Tl at (0.250, 0.750, 0.500) and Hg at (0.250, 0.750, 0.000).

The calculation puts the total energy at -2.477 eV per atom.

Entry 6:
## Ag4P5 (PBE)

Data for crystalline Ag4P5 at its relaxed geometry.

The space group is P6_3/mcm (No. 193) and the conventional cell measures 8.0088, 8.0088 and 5.5135 Å, with angles of 90.00, 90.00 and 120.00 degrees. Symmetry generates all atoms from Ag at (0.0000, 0.0000, 0.0000), Ag at (0.0000, 0.3351, 0.2500), P at (0.0000, 0.3319, 0.7500) and P at (0.3333, 0.6667, 0.0000).

The calculation puts the total energy at -3.669 eV per atom.

Entry 7:
## Al3Zn6Ag (PBE)

Data for crystalline Al3Zn6Ag at its relaxed geometry.

The space group is P-3m1 (No. 164) and the conventional cell measures 2.8430, 2.8430 and 22.6443 Å, with angles of 90.00, 90.00 and 120.00 degrees. Symmetry generates all atoms from Al at (0.0000, 0.0000, 0.0000), Al at (0.0000, 0.0000, 0.2996), Zn at (0.3333, 0.6667, 0.1003), Zn at (0.3333, 0.6667, 0.3985), Zn at (0.3333, 0.6667, 0.8002) and Ag at (0.0000, 0.0000, 0.5000).

The calculation puts the total energy at -2.167 eV per atom.

Entry 8:
## LiS2F (PBE)

Data for crystalline LiS2F at its relaxed geometry.

The space group is Fm-3m (No. 225) and the conventional cell measures 6.003, 6.003 and 6.003 Å, with angles of 90.00, 90.00 and 90.00 degrees. Symmetry generates all atoms from Li at (0.000, 0.000, 0.000), S at (0.250, 0.250, 0.250) and F at (0.000, 0.000, 0.500).

For the uncorrected formation energy, the calculation gives -3 kJ per mole of atoms.

Entry 9:
## TcAgHg2 (PBE)

Data for crystalline TcAgHg2 at its relaxed geometry.

The space group is Pmm2 (No. 25) and the conventional cell measures 2.995, 4.927 and 5.030 Å, with angles of 90.00, 90.00 and 90.00 degrees. Symmetry generates all atoms from Tc at (0.000, 0.000, 0.000), Ag at (0.000, 0.500, 0.598), Hg at (0.500, 0.000, 0.501) and Hg at (0.500, 0.500, 0.081).

The calculation puts the total energy at -2.964 eV per atom.

Entry 10:
## Tm4AlZn2In (PBE)

Data for crystalline Tm4AlZn2In at its relaxed geometry.

The space group is R-3m (No. 166, hexagonal axes) and the conventional cell measures 5.0592, 5.0592 and 24.8706 Å, with angles of 90.00, 90.00 and 120.00 degrees. Symmetry generates all atoms from Tm at (0.0000, 0.0000, 0.1221), Tm at (0.0000, 0.0000, 0.3723), Al at (0.0000, 0.0000, 0.0000), Zn at (0.0000, 0.0000, 0.2506) and In at (0.0000, 0.0000, 0.5000).

The calculation puts the total energy at -3.744 eV per atom.

Entry 11:
## AcDy2TcO8 (PBE)

Data for crystalline AcDy2TcO8 at its relaxed geometry.

The space group is P2/m (No. 10) and the conventional cell measures 5.116, 7.020 and 5.119 Å, with angles of 90.00, 91.47 and 90.00 degrees. Symmetry generates all atoms from Ac at (0.000, 0.000, 0.000), Dy at (0.500, 0.249, 0.500), Tc at (0.000, 0.500, 0.000), O at (0.188, 0.304, 0.186), O at (0.259, 0.500, 0.739) and O at (0.321, 0.000, 0.675).

For the uncorrected formation energy, the calculation gives -251 kJ per mole of atoms.

Entry 12:
## Mg8Bi2Ir (PBE)

Data for crystalline Mg8Bi2Ir at its relaxed geometry.

The space group is C2/m (No. 12) and the conventional cell measures 23.965, 4.618 and 4.677 Å, with angles of 90.00, 97.49 and 90.00 degrees. Symmetry generates all atoms from Mg at (0.058, 0.000, 0.044), Mg at (0.058, 0.500, 0.556), Mg at (0.145, 0.000, 0.615), Mg at (0.250, 0.000, 0.276), Bi at (0.158, 0.500, 0.114) and Ir at (0.000, 0.000, 0.500).

The calculation puts the total energy at -2.854 eV per atom.

Entry 13:
## HoErAg2S4 (PBE)

Data for crystalline HoErAg2S4 at its relaxed geometry.

The space group is P2/m (No. 10) and the conventional cell measures 7.032, 4.048 and 7.829 Å, with angles of 90.00, 105.82 and 90.00 degrees. Symmetry generates all atoms from Ho at (0.000, 0.000, 0.000), Er at (0.500, 0.500, 0.000), Ag at (0.000, 0.500, 0.500), Ag at (0.500, 0.000, 0.500), S at (0.112, 0.500, 0.813) and S at (0.390, 0.000, 0.186).

For the uncorrected formation energy, the calculation gives -127 kJ per mole of atoms.

Entry 14:
## BaV3As (PBE)

Data for crystalline BaV3As at its relaxed geometry.

The space group is Pm-3m (No. 221) and the conventional cell measures 4.812, 4.812 and 4.812 Å, with angles of 90.00, 90.00 and 90.00 degrees. Symmetry generates all atoms from Ba at (0.000, 0.000, 0.000), V at (0.000, 0.000, 0.500) and As at (0.500, 0.500, 0.500).

The calculation puts the total energy at -4.368 eV per atom.

Entry 15:
## AsBrF3 (PBE)

Data for crystalline AsBrF3 at its relaxed geometry.

The space group is Pm-3m (No. 221) and the conventional cell measures 4.529, 4.529 and 4.529 Å, with angles of 90.00, 90.00 and 90.00 degrees. Symmetry generates all atoms from As at (0.000, 0.000, 0.000), Br at (0.500, 0.500, 0.500) and F at (0.000, 0.500, 0.500).

For the uncorrected formation energy, the calculation gives 3 kJ per mole of atoms.

Entry 16:
## Nd5Dy12Cd2 (PBE)

Data for crystalline Nd5Dy12Cd2 at its relaxed geometry.

The space group is C2/m (No. 12) and the conventional cell measures 15.522, 9.291 and 8.383 Å, with angles of 90.00, 92.32 and 90.00 degrees. Symmetry generates all atoms from Nd at (0.000, 0.000, 0.000), Nd at (0.203, 0.500, 0.517), Nd at (0.234, 0.000, 0.075), Dy at (0.055, 0.500, 0.826), Dy at (0.076, 0.000, 0.380), Dy at (0.127, 0.308, 0.174), Dy at (0.144, 0.182, 0.737) and Cd at (0.000, 0.327, 0.500).

The calculation puts the total energy at -4.217 eV per atom.

Entry 17:
## CaBe2Re (PBE)

Data for crystalline CaBe2Re at its relaxed geometry.

The space group is C2/m (No. 12) and the conventional cell measures 8.335, 2.637 and 5.730 Å, with angles of 90.00, 95.78 and 90.00 degrees. Symmetry generates all atoms from Ca at (0.000, 0.000, 0.000), Be at (0.238, 0.000, 0.651) and Re at (0.000, 0.500, 0.500).

The calculation puts the total energy at -5.106 eV per atom.

Entry 18:
## Nb2CoAs (PBE)

Data for crystalline Nb2CoAs at its relaxed geometry.

The space group is I-42d (No. 122) and the conventional cell measures 6.888, 6.888 and 5.573 Å, with angles of 90.00, 90.00 and 90.00 degrees. Symmetry generates all atoms from Nb at (0.231, 0.250, 0.125), Co at (0.000, 0.000, 0.000) and As at (0.000, 0.000, 0.500).

The calculation puts the total energy at -7.936 eV per atom.

Entry 19:
## Zr4SiN (PBE)

Data for crystalline Zr4SiN at its relaxed geometry.

The space group is P2_1/c (No. 14) and the conventional cell measures 5.962, 6.111 and 6.117 Å, with angles of 90.00, 95.27 and 90.00 degrees. Symmetry generates all atoms from Zr at (0.113, 0.163, 0.176), Zr at (0.332, 0.630, 0.107), Si at (0.500, 0.000, 0.000) and N at (0.000, 0.000, 0.500).

For the uncorrected formation energy, the calculation gives -71 kJ per mole of atoms.

Entry 20:
## Mn3SbP (PBE)

Data for crystalline Mn3SbP at its relaxed geometry.

The space group is Pm-3m (No. 221) and the conventional cell measures 4.388, 4.388 and 4.388 Å, with angles of 90.00, 90.00 and 90.00 degrees. Symmetry generates all atoms from Mn at (0.000, 0.000, 0.500), Sb at (0.500, 0.500, 0.500) and P at (0.000, 0.000, 0.000).

For the uncorrected formation energy, the calculation gives 17 kJ per mole of atoms.

Entry 21:
## Y2PtPb (PBE)

Data for crystalline Y2PtPb at its relaxed geometry.

The space group is C2/m (No. 12) and the conventional cell measures 6.859, 3.971 and 8.560 Å, with angles of 90.00, 105.52 and 90.00 degrees. Symmetry generates all atoms from Y at (0.233, 0.000, 0.200), Pt at (0.000, 0.500, 0.000) and Pb at (0.000, 0.000, 0.500).

The calculation puts the total energy at -6.426 eV per atom.

Entry 22:
## YPaGa4 (PBE)

Data for crystalline YPaGa4 at its relaxed geometry.

The space group is I-4m2 (No. 119) and the conventional cell measures 4.150, 4.150 and 14.582 Å, with angles of 90.00, 90.00 and 90.00 degrees. Symmetry generates all atoms from Y at (0.000, 0.000, 0.000), Pa at (0.000, 0.500, 0.250), Ga at (0.000, 0.000, 0.417) and Ga at (0.000, 0.500, 0.668).

The calculation puts the total energy at -5.166 eV per atom.

Entry 23:
## Ba2Cd3In4Sn (PBE)

Data for crystalline Ba2Cd3In4Sn at its relaxed geometry.

The space group is P-4m2 (No. 115) and the conventional cell measures 4.964, 4.964 and 12.306 Å, with angles of 90.00, 90.00 and 90.00 degrees. Symmetry generates all atoms from Ba at (0.000, 0.500, 0.248), Cd at (0.000, 0.000, 0.000), Cd at (0.000, 0.500, 0.633), In at (0.000, 0.000, 0.500), In at (0.000, 0.500, 0.863), In at (0.500, 0.500, 0.500) and Sn at (0.500, 0.500, 0.000).

The calculation puts the total energy at -2.506 eV per atom.